1.
Below is crystalline K2GeAsS4 at its relaxed geometry, with properties calculated at the PBE level.

a b c (Å): 7.5089 7.5089 7.7180
angles (deg): 90.00 90.00 90.00
Last column: nearest neighbours and their distance in Å.
Space group I-4 (No. 82)
Inequivalent atoms, fractional coordinates:
K1 0.0000 0.0000 0.0000 x2  4 S 3.11
K2 0.0000 0.5000 0.2500 x2  4 S 3.20
Ge1 0.0000 0.5000 0.7500 x2  4 S 2.26
As1 0.0000 0.0000 0.5000 x2  4 S 2.60
S1 0.1486 0.7001 0.5868 x8  1 Ge 2.26

Computed properties:
Formation energy from raw total energies = -4.68 eV per formula unit


2.
Below is crystalline Na2Tb2Br7 at its relaxed geometry, with properties calculated at the PBE level.

a b c (Å): 12.3364 8.7801 7.0717
angles (deg): 90.00 93.34 90.00
Last column: nearest neighbours and their distance in Å.
Space group C2/m (No. 12)
Inequivalent atoms, fractional coordinates:
Na1 0.0000 0.2375 0.0000 x4  4 Br 2.94-3.01
Tb1 0.2311 0.5000 0.4344 x4  6 Br 2.75-2.92
Br1 0.0000 0.5000 0.5000 x2  2 Tb 2.92
Br2 0.0787 0.0000 0.7496 x4  1 Tb 2.75, 2 Na 2.94
Br3 0.2017 0.2070 0.2587 x8  2 Tb 2.87-2.91, 1 Na 3.01

Computed properties:
Formation energy from raw total energies = -17.20 eV per formula unit


3.
Below is crystalline ZrCu3P at its relaxed geometry, with properties calculated at the PBE level.

a b c (Å): 4.3116 4.3116 4.3116
angles (deg): 90.00 90.00 90.00
Last column: nearest neighbours and their distance in Å.
Space group Pm-3m (No. 221)
Inequivalent atoms, fractional coordinates:
Zr1 0.0000 0.0000 0.0000 x1  12 Cu 3.05
Cu1 0.0000 0.5000 0.5000 x3  2 P 2.16
P1 0.5000 0.5000 0.5000 x1  6 Cu 2.16

Computed properties:
ΔH_f (0 K) = 0.2060 eV/atom
Energy above the most stable polymorph in this dataset = 0.0000 eV/atom


4.
Below is crystalline CaCdCl2 at its relaxed geometry, with properties calculated at the PBE level.

a b c (Å): 3.9255 6.7847 10.0641
angles (deg): 90.00 90.00 90.00
Last column: nearest neighbours and their distance in Å.
Space group Immm (No. 71)
Inequivalent atoms, fractional coordinates:
Ca1 0.0000 0.0000 0.0000 x2  4 Cl 2.67
Cd1 0.0000 0.0000 0.5000 x2  8 Cl 3.77-3.84, 4 Ca 3.92, 2 Cd 3.93
Cl1 0.0000 0.5000 0.3203 x4  2 Ca 2.67

Computed properties:
Formation energy from raw total energies = -5.80 eV per formula unit
Energy above the most stable polymorph in this dataset = 0.1888 eV/atom


Copy entry 3 word for word.
Below is crystalline ZrCu3P at its relaxed geometry, with properties calculated at the PBE level.

a b c (Å): 4.3116 4.3116 4.3116
angles (deg): 90.00 90.00 90.00
Last column: nearest neighbours and their distance in Å.
Space group Pm-3m (No. 221)
Inequivalent atoms, fractional coordinates:
Zr1 0.0000 0.0000 0.0000 x1  12 Cu 3.05
Cu1 0.0000 0.5000 0.5000 x3  2 P 2.16
P1 0.5000 0.5000 0.5000 x1  6 Cu 2.16

Computed properties:
ΔH_f (0 K) = 0.2060 eV/atom
Energy above the most stable polymorph in this dataset = 0.0000 eV/atom